Here is an optimized crystal structure of La2PuCd from Alexandria. Energies are from PBE-GGA.

It has space group R-3m (No. 166, hexagonal axes), with a = 3.4461 Å, b = 3.4461 Å, c = 36.3631 Å, α = 90.00°, β = 90.00° and γ = 120.00°. The distinct sites, in fractional coordinates, are La at (0.0000, 0.0000, 0.0894), Pu at (0.0000, 0.0000, 0.0000) and Cd at (0.0000, 0.0000, 0.5000).

For the density of states at the Fermi level, the calculation gives 3.537 states/eV per atom. The value obtained for the total energy is -6.0729 eV per atom. The total magnetic moment is 5.972 μB/f.u. The formation energy from the elements is 0.2026 eV per atom. Its energy above the most stable polymorph in this dataset is 271.5 meV per atom. The value obtained for the calculated volume is 374.0 Å³ per cell.